1.
TaPtPb: optimized geometry, GGA-PBE.

The calculation puts the total magnetization at 0.0 μB per formula unit. For the total energy, the calculation gives -6.85 eV per atom.

It has space group F-43m (No. 216), with a = 6.4625 Å, b = 6.4625 Å, c = 6.4625 Å, α = 90.00°, β = 90.00° and γ = 90.00°. The distinct sites, in fractional coordinates, are Ta at (0.0000, 0.0000, 0.0000), Pt at (0.2500, 0.2500, 0.2500) and Pb at (0.2500, 0.2500, 0.7500).

2.
TaCdAsO: optimized geometry, GGA-PBE.

The calculation puts the total magnetization at 0.2 μB per formula unit. The offset from the most stable computed form is 85 kJ/mol of formula units.

It has space group P4/nmm (No. 129, origin choice 2), with a = 3.5846 Å, b = 3.5846 Å, c = 10.4239 Å, α = 90.00°, β = 90.00° and γ = 90.00°. The distinct sites, in fractional coordinates, are Ta at (0.2500, 0.2500, 0.1204), Cd at (0.2500, 0.7500, 0.5000), As at (0.2500, 0.2500, 0.7602) and O at (0.2500, 0.7500, 0.0000).

3.
Dy6Ni2Hg: optimized geometry, GGA-PBE.

Its formation energy from the elements is -32.7 kJ/mol of atoms. The calculation puts the total magnetization at 0.0 μB per formula unit.

It has space group Immm (No. 71), with a = 9.2456 Å, b = 9.6674 Å, c = 10.0136 Å, α = 90.00°, β = 90.00° and γ = 90.00°. The distinct sites, in fractional coordinates, are Dy at (0.0000, 0.1995, 0.2338), Dy at (0.1930, 0.5000, 0.1747), Dy at (0.2089, 0.3179, 0.5000), Ni at (0.0000, 0.3557, 0.0000), Ni at (0.0000, 0.5000, 0.3771), Hg at (0.0000, 0.0000, 0.0000) and Hg at (0.0000, 0.0000, 0.5000).